# 1
Mn2TcNi: relaxed, GGA-PBEsol.

Unit cell a=2.5108 b=2.5108 c=7.1854 alpha=90.00 beta=90.00 gamma=90.00
Site moments in Bohr magnetons follow the coordinates.
Fractional positions:
Mn: 0.0000 0.0000 0.0208  -0.70
Mn: 0.5000 0.5000 0.2414  0.88
Ni: 0.0000 0.0000 0.4861  0.07
Tc: 0.5000 0.5000 0.7517  0.03

Calculated values
* SG: P4mm
* DFT formation energy: 0.066 eV/atom


# 2
MnTcNi2: relaxed, GGA-PBEsol.

Unit cell a=2.5401 b=2.5401 c=8.3988 alpha=81.30 beta=81.30 gamma=60.00
Site moments in Bohr magnetons follow the coordinates.
Fractional positions:
Mn: 0.0000 0.0000 0.0000  1.88
Ni: 0.2526 0.2526 0.2422  0.30
Ni: 0.7474 0.7474 0.7578  0.30
Tc: 0.5000 0.5000 0.5000  -0.03

Calculated values
* excess energy over the best structure of this formula in the dataset: 11.8 meV per atom
* SG: R-3m
* DFT formation energy: 0.150 eV/atom


# 3
Mn2NiTe: relaxed, GGA-PBEsol.

Unit cell a=3.8828 b=3.8828 c=4.8634 alpha=66.47 beta=66.47 gamma=60.00
Site moments in Bohr magnetons follow the coordinates.
Fractional positions:
Mn: 0.0614 0.0614 0.8157  1.87
Mn: 0.6947 0.6947 0.9160  -1.35
Ni: 0.4869 0.4869 0.5394  -0.01
Te: 0.2570 0.2570 0.2289  0.00

Calculated values
* SG: R3m
* raw total energy: -7.056 eV per atom


# 4
TiMn2Ni2: relaxed, GGA-PBEsol.

Unit cell a=3.1794 b=3.1794 c=6.3179 alpha=104.57 beta=104.57 gamma=90.00
Fractional positions:
Ni: 0.4032 0.4032 0.8064
Ni: 0.5968 0.5968 0.1936
Mn: 0.2500 0.7500 0.5000
Mn: 0.7500 0.2500 0.5000
Ti: 0.0000 0.0000 0.0000

Calculated values
* SG: I4/mmm
* DFT formation energy: 0.056 eV/atom


# 5
Ti2MnNi: relaxed, GGA-PBEsol.

Unit cell a=4.1677 b=4.1677 c=4.1677 alpha=60.00 beta=60.00 gamma=60.00
Fractional positions:
Ni: 0.5000 0.5000 0.5000
Mn: 0.0000 0.0000 0.0000
Ti: 0.2500 0.2500 0.2500
Ti: 0.7500 0.7500 0.7500

Calculated values
* SG: Fm-3m
* DFT formation energy: -0.336 eV/atom


# 6
Ti3MnNi: relaxed, GGA-PBEsol.

Unit cell a=4.3573 b=4.3573 c=4.3573 alpha=90.00 beta=90.00 gamma=90.00
Fractional positions:
Ni: 0.5000 0.5000 0.5000
Mn: 0.0000 0.0000 0.0000
Ti: 0.0000 0.5000 0.0000
Ti: 0.0000 0.0000 0.5000
Ti: 0.5000 0.0000 0.0000

Calculated values
* SG: Pm-3m
* DFT formation energy: 0.564 eV/atom


# 7
MnNi2W: relaxed, GGA-PBEsol.

Unit cell a=3.5449 b=3.5449 c=4.4962 alpha=113.22 beta=113.22 gamma=90.00
Site moments in Bohr magnetons follow the coordinates.
Fractional positions:
Ni: 0.7500 0.2500 0.5000  0.18
Ni: 0.2500 0.7500 0.5000  0.18
Mn: 0.5000 0.5000 0.0000  1.88
W: 0.0000 0.0000 0.0000  -0.32

Calculated values
* excess energy over the best structure of this formula in the dataset: 0.0 meV per atom
* SG: I4/mmm
* DFT formation energy: -0.034 eV/atom


# 8
MnNi2W: relaxed, GGA-PBEsol.

Unit cell a=4.1126 b=4.1126 c=4.1126 alpha=60.00 beta=60.00 gamma=60.00
Site moments in Bohr magnetons follow the coordinates.
Fractional positions:
Mn: 0.0000 0.0000 0.0000  3.19
Ni: 0.2500 0.2500 0.2500  0.27
Ni: 0.7500 0.7500 0.7500  0.27
W: 0.5000 0.5000 0.5000  -0.08

Calculated values
* excess energy over the best structure of this formula in the dataset: 223.9 meV per atom
* SG: Fm-3m
* DFT formation energy: 0.189 eV/atom


# 9
MnNi2W: relaxed, GGA-PBEsol.

Unit cell a=2.5788 b=4.4573 c=4.4573 alpha=111.59 beta=90.00 gamma=90.00
Site moments in Bohr magnetons follow the coordinates.
Fractional positions:
Mn: 0.5000 0.0000 0.0000  2.07
Ni: 0.0000 0.0000 0.5000  0.19
Ni: 0.0000 0.5000 0.0000  0.19
W: 0.5000 0.5000 0.5000  -0.19

Calculated values
* excess energy over the best structure of this formula in the dataset: 103.4 meV per atom
* SG: Cmmm
* DFT formation energy: 0.069 eV/atom


# 10
MnNi2W: relaxed, GGA-PBEsol.

Unit cell a=4.0564 b=4.0564 c=4.0564 alpha=60.00 beta=60.00 gamma=60.00
Site moments in Bohr magnetons follow the coordinates.
Fractional positions:
Mn: 0.5000 0.5000 0.5000  1.28
Ni: 0.0000 0.0000 0.0000  -0.07
Ni: 0.7500 0.7500 0.7500  0.40
W: 0.2500 0.2500 0.2500  -0.31

Calculated values
* excess energy over the best structure of this formula in the dataset: 147.4 meV per atom
* SG: F-43m
* DFT formation energy: 0.113 eV/atom


# 11
MnNi2W: relaxed, GGA-PBEsol.

Unit cell a=3.5206 b=3.5206 c=3.7490 alpha=90.00 beta=90.00 gamma=90.00
Site moments in Bohr magnetons follow the coordinates.
Fractional positions:
Ni: 0.0000 0.5000 0.0000  0.03
Ni: 0.5000 0.0000 0.0000  0.03
Mn: 0.0000 0.0000 0.5000  1.19
W: 0.5000 0.5000 0.5000  -0.35

Calculated values
* excess energy over the best structure of this formula in the dataset: 7.8 meV per atom
* SG: P4/mmm
* DFT formation energy: -0.027 eV/atom


# 12
MnNiW2: relaxed, GGA-PBEsol.

Unit cell a=2.6134 b=2.6134 c=7.7821 alpha=90.00 beta=90.00 gamma=90.00
Site moments in Bohr magnetons follow the coordinates.
Fractional positions:
Mn: 0.5000 0.5000 0.0000  1.83
Ni: 0.5000 0.5000 0.5000  -0.07
W: 0.0000 0.0000 0.7450  -0.10
W: 0.0000 0.0000 0.2550  -0.10

Calculated values
* excess energy over the best structure of this formula in the dataset: 0.0 meV per atom
* SG: P4/mmm
* DFT formation energy: 0.151 eV/atom


DOS(E_F) (computed, states/eV per atom): 1.062, 1.482, 1.070, 0.987, 0.892, 1.561, 0.731, 1.243, 0.881, 0.697, 0.709, 0.715